Below is an optimized crystal structure of Ac2TbSm4, with properties calculated at the PBE-GGA level.

```
data_Ac2TbSm4
_chemical_formula_sum 'Ac2 Tb1 Sm4'
_symmetry_space_group_name_H-M 'P -1'
_symmetry_Int_Tables_number 2
_cell_length_a 4.4944
_cell_length_b 6.4062
_cell_length_c 10.2651
_cell_angle_alpha 84.79
_cell_angle_beta 77.57
_cell_angle_gamma 69.48
loop_
_symmetry_equiv_pos_as_xyz
'x,y,z'
'-x,-y,-z'
loop_
_atom_site_label
_atom_site_type_symbol
_atom_site_fract_x
_atom_site_fract_y
_atom_site_fract_z
Ac1 Ac 0.0859 0.2195 0.1038
Tb1 Tb 0.0000 0.0000 0.5000
Sm1 Sm 0.2920 0.1933 0.7273
Sm2 Sm 0.3598 0.3953 0.3839
```

Values from the calculation:
- Energy of formation from the pure elements: 1.25 eV/f.u.

***

Below is an optimized crystal structure of Hf2BeInGa, with properties calculated at the PBE-GGA level.

```
data_Hf2BeInGa
_chemical_formula_sum 'Hf2 Be1 In1 Ga1'
_symmetry_space_group_name_H-M 'P 4/m m m'
_symmetry_Int_Tables_number 123
_symmetry_space_group_name_Hall '-P 4 2'
_cell_length_a 5.0585
_cell_length_b 5.0585
_cell_length_c 4.1061
_cell_angle_alpha 90.00
_cell_angle_beta 90.00
_cell_angle_gamma 90.00
loop_
_atom_site_label
_atom_site_type_symbol
_atom_site_fract_x
_atom_site_fract_y
_atom_site_fract_z
Hf1 Hf 0.0000 0.5000 0.0000
Be1 Be 0.0000 0.0000 0.5000
In1 In 0.5000 0.5000 0.5000
Ga1 Ga 0.0000 0.0000 0.0000
```

Values from the calculation:
- Energy of formation from the pure elements: 2.03 eV/f.u.

***

Below is an optimized crystal structure of TbCd3Hg2, with properties calculated at the PBE-GGA level.

```
data_TbCd3Hg2
_chemical_formula_sum 'Tb4 Cd12 Hg8'
_symmetry_space_group_name_H-M 'C 1 2/m 1'
_symmetry_Int_Tables_number 12
_cell_length_a 13.0698
_cell_length_b 4.5098
_cell_length_c 10.3087
_cell_angle_alpha 90.00
_cell_angle_beta 110.76
_cell_angle_gamma 90.00
loop_
_symmetry_equiv_pos_as_xyz
'x,y,z'
'-x,-y,-z'
'-x,y,-z'
'x,-y,z'
'x+1/2,y+1/2,z'
'-x+1/2,-y+1/2,-z'
'-x+1/2,y+1/2,-z'
'x+1/2,-y+1/2,z'
loop_
_atom_site_label
_atom_site_type_symbol
_atom_site_fract_x
_atom_site_fract_y
_atom_site_fract_z
Tb1 Tb 0.1489 0.0000 0.1187
Cd1 Cd 0.0564 0.0000 0.3875
Cd2 Cd 0.1147 0.5000 0.6127
Cd3 Cd 0.2121 0.5000 0.3788
Hg1 Hg 0.0214 0.5000 0.8582
Hg2 Hg 0.1782 0.0000 0.8368
```

Values from the calculation:
- Energy of formation from the pure elements: -1.25 eV/f.u.
- ΔE to the lowest computed polymorph: 0.0 meV per atom

***

Below is an optimized crystal structure of Ac8NdY2, with properties calculated at the PBE-GGA level.

```
data_Ac8NdY2
_chemical_formula_sum 'Ac16 Nd2 Y4'
_symmetry_space_group_name_H-M 'C 1 2/m 1'
_symmetry_Int_Tables_number 12
_cell_length_a 13.4800
_cell_length_b 12.3321
_cell_length_c 6.2376
_cell_angle_alpha 90.00
_cell_angle_beta 103.08
_cell_angle_gamma 90.00
loop_
_symmetry_equiv_pos_as_xyz
'x,y,z'
'-x,-y,-z'
'-x,y,-z'
'x,-y,z'
'x+1/2,y+1/2,z'
'-x+1/2,-y+1/2,-z'
'-x+1/2,y+1/2,-z'
'x+1/2,-y+1/2,z'
loop_
_atom_site_label
_atom_site_type_symbol
_atom_site_fract_x
_atom_site_fract_y
_atom_site_fract_z
Ac1 Ac 0.0791 0.0000 0.2930
Ac2 Ac 0.1103 0.2469 0.8110
Ac3 Ac 0.1429 0.5000 0.5072
Nd1 Nd 0.0000 0.5000 0.0000
Y1 Y 0.2368 0.0000 0.9169
```

Values from the calculation:
- Energy of formation from the pure elements: 3.96 eV/f.u.

***

Below is an optimized crystal structure of Pa4C2Se3, with properties calculated at the PBE-GGA level.

```
data_Pa4C2Se3
_chemical_formula_sum 'Pa16 C8 Se12'
_symmetry_space_group_name_H-M 'C 1 2/c 1'
_symmetry_Int_Tables_number 15
_cell_length_a 12.7554
_cell_length_b 9.8456
_cell_length_c 6.1761
_cell_angle_alpha 90.00
_cell_angle_beta 92.00
_cell_angle_gamma 90.00
loop_
_symmetry_equiv_pos_as_xyz
'x,y,z'
'-x,-y,-z'
'-x,y,-z+1/2'
'x,-y,z+1/2'
'x+1/2,y+1/2,z'
'-x+1/2,-y+1/2,-z'
'-x+1/2,y+1/2,-z+1/2'
'x+1/2,-y+1/2,z+1/2'
loop_
_atom_site_label
_atom_site_type_symbol
_atom_site_fract_x
_atom_site_fract_y
_atom_site_fract_z
Pa1 Pa 0.1204 0.1773 0.4708
Pa2 Pa 0.1616 0.4192 0.9367
C1 C 0.2076 0.3708 0.5885
Se1 Se 0.0000 0.4001 0.2500
Se2 Se 0.1139 0.1259 0.9716
```

Values from the calculation:
- E_form (uncorrected): -0.89 eV/atom

***

Below is an optimized crystal structure of Dy2GaRu3, with properties calculated at the PBE-GGA level.

```
data_Dy2GaRu3
_chemical_formula_sum 'Dy6 Ga3 Ru9'
_symmetry_space_group_name_H-M 'R -3 m'
_symmetry_Int_Tables_number 166
_symmetry_space_group_name_Hall '-R 3 2"'
_cell_length_a 5.4570
_cell_length_b 5.4570
_cell_length_c 12.5883
_cell_angle_alpha 90.00
_cell_angle_beta 90.00
_cell_angle_gamma 120.00
loop_
_atom_site_label
_atom_site_type_symbol
_atom_site_fract_x
_atom_site_fract_y
_atom_site_fract_z
Dy1 Dy 0.0000 0.0000 0.1254
Ga1 Ga 0.0000 0.0000 0.5000
Ru1 Ru 0.0000 0.5000 0.0000
```

Values from the calculation:
- Energy of formation from the pure elements: -2.59 eV/f.u.

***

Below is an optimized crystal structure of Ac2TiS5, with properties calculated at the PBE-GGA level.

```
data_Ac2TiS5
_chemical_formula_sum 'Ac8 Ti4 S20'
_symmetry_space_group_name_H-M 'P 1 21/c 1'
_symmetry_Int_Tables_number 14
_cell_length_a 11.8016
_cell_length_b 9.0067
_cell_length_c 8.9067
_cell_angle_alpha 90.00
_cell_angle_beta 108.85
_cell_angle_gamma 90.00
loop_
_symmetry_equiv_pos_as_xyz
'x,y,z'
'-x,-y,-z'
'-x,y+1/2,-z+1/2'
'x,-y+1/2,z+1/2'
loop_
_atom_site_label
_atom_site_type_symbol
_atom_site_fract_x
_atom_site_fract_y
_atom_site_fract_z
Ac1 Ac 0.0380 0.1187 0.2382
Ac2 Ac 0.4009 0.1676 0.0982
Ti1 Ti 0.2944 0.5927 0.0448
S1 S 0.0958 0.6381 0.9822
S2 S 0.1259 0.1185 0.9560
S3 S 0.3097 0.0746 0.3612
S4 S 0.3568 0.0387 0.7668
S5 S 0.4080 0.7033 0.5819
```

Values from the calculation:
- ΔE to the lowest computed polymorph: 0.0 meV per atom
- E_form (uncorrected): -1.83 eV/atom

***

Below is an optimized crystal structure of Th4BiPd2, with properties calculated at the PBE-GGA level.

```
data_Th4BiPd2
_chemical_formula_sum 'Th12 Bi3 Pd6'
_symmetry_space_group_name_H-M 'R -3 m'
_symmetry_Int_Tables_number 166
_symmetry_space_group_name_Hall '-R 3 2"'
_cell_length_a 4.2579
_cell_length_b 4.2579
_cell_length_c 40.2542
_cell_angle_alpha 90.00
_cell_angle_beta 90.00
_cell_angle_gamma 120.00
loop_
_atom_site_label
_atom_site_type_symbol
_atom_site_fract_x
_atom_site_fract_y
_atom_site_fract_z
Th1 Th 0.0000 0.0000 0.1118
Th2 Th 0.0000 0.0000 0.3020
Bi1 Bi 0.0000 0.0000 0.5000
Pd1 Pd 0.0000 0.0000 0.4021
```

Values from the calculation:
- Energy of formation from the pure elements: -2.83 eV/f.u.

***

Below is an optimized crystal structure of LiTbIn2, with properties calculated at the PBE-GGA level.

```
data_LiTbIn2
_chemical_formula_sum 'Li1 Tb1 In2'
_symmetry_space_group_name_H-M 'P 4/m m m'
_symmetry_Int_Tables_number 123
_symmetry_space_group_name_Hall '-P 4 2'
_cell_length_a 3.5463
_cell_length_b 3.5463
_cell_length_c 7.3446
_cell_angle_alpha 90.00
_cell_angle_beta 90.00
_cell_angle_gamma 90.00
loop_
_atom_site_label
_atom_site_type_symbol
_atom_site_fract_x
_atom_site_fract_y
_atom_site_fract_z
Li1 Li 0.0000 0.0000 0.0000
Tb1 Tb 0.0000 0.0000 0.5000
In1 In 0.5000 0.5000 0.2109
```

Values from the calculation:
- Energy of formation from the pure elements: -1.60 eV/f.u.

***

Below is an optimized crystal structure of Er8Pt5Rh, with properties calculated at the PBE-GGA level.

```
data_Er8Pt5Rh
_chemical_formula_sum 'Er16 Pt10 Rh2'
_symmetry_space_group_name_H-M 'I -4'
_symmetry_Int_Tables_number 82
_cell_length_a 8.6136
_cell_length_b 8.6136
_cell_length_c 8.6504
_cell_angle_alpha 90.00
_cell_angle_beta 90.00
_cell_angle_gamma 90.00
loop_
_symmetry_equiv_pos_as_xyz
'x,y,z'
'y,-x,-z'
'-x,-y,z'
'-y,x,-z'
'x+1/2,y+1/2,z+1/2'
'y+1/2,-x+1/2,-z+1/2'
'-x+1/2,-y+1/2,z+1/2'
'-y+1/2,x+1/2,-z+1/2'
loop_
_atom_site_label
_atom_site_type_symbol
_atom_site_fract_x
_atom_site_fract_y
_atom_site_fract_z
Er1 Er 0.0615 0.1895 0.3079
Er2 Er 0.0663 0.3152 0.9392
Pt1 Pt 0.0000 0.0000 0.0000
Pt2 Pt 0.1250 0.2511 0.6228
Rh1 Rh 0.0000 0.5000 0.2500
```

Values from the calculation:
- Energy of formation from the pure elements: -15.32 eV/f.u.

***

Below is an optimized crystal structure of CaTlTe2, with properties calculated at the PBE-GGA level.

```
data_CaTlTe2
_chemical_formula_sum 'Ca2 Tl2 Te4'
_symmetry_space_group_name_H-M 'I -4 m 2'
_symmetry_Int_Tables_number 119
_symmetry_space_group_name_Hall 'I -4 -2'
_cell_length_a 4.5524
_cell_length_b 4.5524
_cell_length_c 12.1270
_cell_angle_alpha 90.00
_cell_angle_beta 90.00
_cell_angle_gamma 90.00
loop_
_atom_site_label
_atom_site_type_symbol
_atom_site_fract_x
_atom_site_fract_y
_atom_site_fract_z
Ca1 Ca 0.0000 0.0000 0.0000
Tl1 Tl 0.0000 0.5000 0.2500
Te1 Te 0.0000 0.0000 0.5000
Te2 Te 0.0000 0.5000 0.7500
```

Values from the calculation:
- E_form (uncorrected): -0.68 eV/atom

***

Below is an optimized crystal structure of Tl2InAg, with properties calculated at the PBE-GGA level.

```
data_Tl2InAg
_chemical_formula_sum 'Tl8 In4 Ag4'
_symmetry_space_group_name_H-M 'F m -3 m'
_symmetry_Int_Tables_number 225
_symmetry_space_group_name_Hall '-F 4 2 3'
_cell_length_a 7.5091
_cell_length_b 7.5091
_cell_length_c 7.5091
_cell_angle_alpha 90.00
_cell_angle_beta 90.00
_cell_angle_gamma 90.00
loop_
_atom_site_label
_atom_site_type_symbol
_atom_site_fract_x
_atom_site_fract_y
_atom_site_fract_z
Tl1 Tl 0.2500 0.2500 0.2500
In1 In 0.0000 0.0000 0.0000
Ag1 Ag 0.0000 0.0000 0.5000
```

Values from the calculation:
- Energy of formation from the pure elements: 0.49 eV/f.u.
- ΔE to the lowest computed polymorph: 79.7 meV per atom

***

Below is an optimized crystal structure of Ni3C, with properties calculated at the PBE-GGA level.

```
data_Ni3C
_chemical_formula_sum 'Ni6 C2'
_symmetry_space_group_name_H-M 'C m m m'
_symmetry_Int_Tables_number 65
_symmetry_space_group_name_Hall '-C 2 2'
_cell_length_a 2.7906
_cell_length_b 4.3166
_cell_length_c 6.5859
_cell_angle_alpha 90.00
_cell_angle_beta 90.00
_cell_angle_gamma 90.00
loop_
_atom_site_label
_atom_site_type_symbol
_atom_site_fract_x
_atom_site_fract_y
_atom_site_fract_z
Ni1 Ni 0.0000 0.0000 0.0000
Ni2 Ni 0.0000 0.5000 0.3103
C1 C 0.0000 0.0000 0.5000
```

Values from the calculation:
- Energy of formation from the pure elements: 2.06 eV/f.u.
- ΔE to the lowest computed polymorph: 452.4 meV per atom

***

Below is an optimized crystal structure of Y2PtF2, with properties calculated at the PBE-GGA level.

```
data_Y2PtF2
_chemical_formula_sum 'Y4 Pt2 F4'
_symmetry_space_group_name_H-M 'I 4/m m m'
_symmetry_Int_Tables_number 139
_symmetry_space_group_name_Hall '-I 4 2'
_cell_length_a 4.6938
_cell_length_b 4.6938
_cell_length_c 8.0612
_cell_angle_alpha 90.00
_cell_angle_beta 90.00
_cell_angle_gamma 90.00
loop_
_atom_site_label
_atom_site_type_symbol
_atom_site_fract_x
_atom_site_fract_y
_atom_site_fract_z
Y1 Y 0.0000 0.5000 0.2500
Pt1 Pt 0.0000 0.0000 0.0000
F1 F 0.0000 0.0000 0.3352
```

Values from the calculation:
- ΔE to the lowest computed polymorph: 0.0 meV per atom
- E_form (uncorrected): -2.08 eV/atom

***

Below is an optimized crystal structure of TaTi6In, with properties calculated at the PBE-GGA level.

```
data_TaTi6In
_chemical_formula_sum 'Ta3 Ti18 In3'
_symmetry_space_group_name_H-M 'R -3 m'
_symmetry_Int_Tables_number 166
_symmetry_space_group_name_Hall '-R 3 2"'
_cell_length_a 4.6800
_cell_length_b 4.6800
_cell_length_c 22.7115
_cell_angle_alpha 90.00
_cell_angle_beta 90.00
_cell_angle_gamma 120.00
loop_
_atom_site_label
_atom_site_type_symbol
_atom_site_fract_x
_atom_site_fract_y
_atom_site_fract_z
Ta1 Ta 0.0000 0.0000 0.0000
Ti1 Ti 0.0000 0.0000 0.1218
Ti2 Ti 0.0000 0.0000 0.2518
Ti3 Ti 0.0000 0.0000 0.3706
In1 In 0.0000 0.0000 0.5000
```

Values from the calculation:
- Energy of formation from the pure elements: 0.09 eV/f.u.

***

Below is an optimized crystal structure of MgScHgMo2, with properties calculated at the PBE-GGA level.

```
data_MgScHgMo2
_chemical_formula_sum 'Mg1 Sc1 Hg1 Mo2'
_symmetry_space_group_name_H-M 'P 4/m m m'
_symmetry_Int_Tables_number 123
_symmetry_space_group_name_Hall '-P 4 2'
_cell_length_a 4.6969
_cell_length_b 4.6969
_cell_length_c 4.8120
_cell_angle_alpha 90.00
_cell_angle_beta 90.00
_cell_angle_gamma 90.00
loop_
_atom_site_label
_atom_site_type_symbol
_atom_site_fract_x
_atom_site_fract_y
_atom_site_fract_z
Mg1 Mg 0.0000 0.0000 0.0000
Sc1 Sc 0.5000 0.5000 0.5000
Hg1 Hg 0.0000 0.0000 0.5000
Mo1 Mo 0.0000 0.5000 0.0000
```

Values from the calculation:
- Energy of formation from the pure elements: 7.11 eV/f.u.

***

Below is an optimized crystal structure of MgMn2Pb, with properties calculated at the PBE-GGA level.

```
data_MgMn2Pb
_chemical_formula_sum 'Mg4 Mn8 Pb4'
_symmetry_space_group_name_H-M 'I -4 2 d'
_symmetry_Int_Tables_number 122
_symmetry_space_group_name_Hall 'I -4 2bw'
_cell_length_a 7.5987
_cell_length_b 7.5987
_cell_length_c 5.7312
_cell_angle_alpha 90.00
_cell_angle_beta 90.00
_cell_angle_gamma 90.00
loop_
_atom_site_label
_atom_site_type_symbol
_atom_site_fract_x
_atom_site_fract_y
_atom_site_fract_z
Mg1 Mg 0.0000 0.0000 0.0000
Mn1 Mn 0.2488 0.2500 0.1250
Pb1 Pb 0.0000 0.0000 0.5000
```

Values from the calculation:
- Energy of formation from the pure elements: 2.60 eV/f.u.

***

Below is an optimized crystal structure of LaTb2CeBi4, with properties calculated at the PBE-GGA level.

```
data_LaTb2CeBi4
_chemical_formula_sum 'La1 Tb2 Ce1 Bi4'
_symmetry_space_group_name_H-M 'P 1 2/m 1'
_symmetry_Int_Tables_number 10
_cell_length_a 7.9067
_cell_length_b 4.5811
_cell_length_c 7.9355
_cell_angle_alpha 90.00
_cell_angle_beta 109.52
_cell_angle_gamma 90.00
loop_
_symmetry_equiv_pos_as_xyz
'x,y,z'
'-x,-y,-z'
'-x,y,-z'
'x,-y,z'
loop_
_atom_site_label
_atom_site_type_symbol
_atom_site_fract_x
_atom_site_fract_y
_atom_site_fract_z
La1 La 0.0000 0.0000 0.0000
Tb1 Tb 0.5000 0.0000 0.5000
Tb2 Tb 0.5000 0.5000 0.0000
Ce1 Ce 0.0000 0.5000 0.5000
Bi1 Bi 0.2576 0.0000 0.7497
Bi2 Bi 0.2593 0.5000 0.2562
```

Values from the calculation:
- Energy of formation from the pure elements: -7.21 eV/f.u.

***

Below is an optimized crystal structure of TiNiTe2Cl, with properties calculated at the PBE-GGA level.

```
data_TiNiTe2Cl
_chemical_formula_sum 'Ti1 Ni1 Te2 Cl1'
_symmetry_space_group_name_H-M 'P 4/m m m'
_symmetry_Int_Tables_number 123
_symmetry_space_group_name_Hall '-P 4 2'
_cell_length_a 4.9359
_cell_length_b 4.9359
_cell_length_c 4.9638
_cell_angle_alpha 90.00
_cell_angle_beta 90.00
_cell_angle_gamma 90.00
loop_
_atom_site_label
_atom_site_type_symbol
_atom_site_fract_x
_atom_site_fract_y
_atom_site_fract_z
Ti1 Ti 0.0000 0.0000 0.0000
Ni1 Ni 0.0000 0.0000 0.5000
Te1 Te 0.0000 0.5000 0.5000
Cl1 Cl 0.5000 0.5000 0.0000
```

Values from the calculation:
- E_form (uncorrected): 0.27 eV/atom

***

Below is an optimized crystal structure of LaZr2Ni, with properties calculated at the PBE-GGA level.

```
data_LaZr2Ni
_chemical_formula_sum 'La2 Zr4 Ni2'
_symmetry_space_group_name_H-M 'C 1 m 1'
_symmetry_Int_Tables_number 8
_cell_length_a 11.2471
_cell_length_b 3.3801
_cell_length_c 5.5068
_cell_angle_alpha 90.00
_cell_angle_beta 118.17
_cell_angle_gamma 90.00
loop_
_symmetry_equiv_pos_as_xyz
'x,y,z'
'x,-y,z'
'x+1/2,y+1/2,z'
'x+1/2,-y+1/2,z'
loop_
_atom_site_label
_atom_site_type_symbol
_atom_site_fract_x
_atom_site_fract_y
_atom_site_fract_z
La1 La 0.0000 0.0000 0.0000
Zr1 Zr 0.1928 0.0000 0.7329
Zr2 Zr 0.3996 0.0000 0.3981
Ni1 Ni 0.2139 0.5000 0.3961
```

Values from the calculation:
- Energy of formation from the pure elements: -0.03 eV/f.u.
- ΔE to the lowest computed polymorph: 109.9 meV per atom